ScCd2Ru: relaxed, PBE.

Results
Mass density: 7.94 g/cm³
DFT total energy: -4.1264 eV/atom
Crystal system: trigonal
N(E_F): 4.8 states/eV/f.u.
ΔE_f: 0.93 eV/f.u.

Unit cell a=10.005 b=10.005 c=10.005 alpha=17.33 beta=17.33 gamma=17.33
Sites, in units of the cell vectors:
Sc  0.000  0.000  0.000
Cd  0.244  0.244  0.244
Cd  0.756  0.756  0.756
Ru  0.500  0.500  0.500